This record from Alexandria via LeMat-Bulk describes crystalline Pa2CCl4 at its relaxed geometry. The functional is GGA-PBE.

Cell and atoms, written as POSCAR:
```
Pa2CCl4
1.0
3.461 0.000 0.000
0.000 11.742 0.000
0.000 0.000 11.742
Cl Pa C
8 4 2
direct
0.000 0.439 0.224
0.500 0.061 0.724
0.000 0.561 0.776
0.500 0.724 0.061
0.500 0.276 0.939
0.000 0.776 0.561
0.500 0.939 0.276
0.000 0.224 0.439
0.000 0.099 0.901
0.000 0.901 0.099
0.500 0.401 0.401
0.500 0.599 0.599
0.500 0.000 0.000
0.000 0.500 0.500
```

uncorrected formation energy: -9.06 eV per formula unit
crystal system: tetragonal
density of states at the Fermi level: 11.42 states/eV per cell